PaGa5: optimized geometry, PBE.

E_form = -1.1 eV per formula unit
N(E_F) = 9.60 states/eV per cell
E above lowest polymorph = 0.000 eV/atom

abc: 4.143 12.184 4.565
angles: 90.00 90.00 90.00
Space group Cmmm (No. 65)
Symmetry-distinct sites (fractional):
Pa (0.000, 0.000, 0.000) [2 per cell]
Ga (0.000, 0.168, 0.500) [4 per cell]
Ga (0.000, 0.316, 0.000) [4 per cell]
Ga (0.000, 0.500, 0.500) [2 per cell]